# 1
## HoNi3As3 (GGA-PBE)

Data for an optimized crystal structure of HoNi3As3.

a b c (Å): 6.397 6.397 6.397
angles (deg): 90.00 90.00 90.00
Sites, in units of the cell vectors:
Ho 0.000 0.000 0.000
Ho 0.500 0.500 0.500
Ni 0.000 0.250 0.500
Ni 0.000 0.750 0.500
Ni 0.250 0.500 0.000
Ni 0.500 0.000 0.250
Ni 0.500 0.000 0.750
Ni 0.750 0.500 0.000
As 0.000 0.500 0.250
As 0.000 0.500 0.750
As 0.250 0.000 0.500
As 0.500 0.250 0.000
As 0.500 0.750 0.000
As 0.750 0.000 0.500

## Properties
energy of formation	-0.288	eV/atom
D(E_F)	9.55	states/eV/cell
final energy	-75.77	eV for the cell shown

# 2
## CeZnBi2 (GGA-PBE)

Data for an optimized crystal structure of CeZnBi2.

a b c (Å): 11.026 11.026 11.026
angles (deg): 18.47 18.47 18.47
Sites, in units of the cell vectors:
Ce 0.000 0.000 0.000
Zn 0.500 0.500 0.500
Bi 0.101 0.101 0.101
Bi 0.899 0.899 0.899

## Properties
energy of formation	0.172	eV/atom
D(E_F)	6.72	states/eV/cell
final energy	-14.28	eV for the cell shown

# 3
## TaCu2Sb (GGA-PBE)

Data for an optimized crystal structure of TaCu2Sb.

a b c (Å): 5.073 5.073 5.073
angles (deg): 134.25 134.25 66.70
Sites, in units of the cell vectors:
Ta 0.000 0.000 0.000
Cu 0.250 0.750 0.500
Cu 0.750 0.250 0.500
Sb 0.500 0.500 0.000

## Properties
D(E_F)	3.54	states/eV/cell
final energy	-22.84	eV for the cell shown
ΔE_f (raw)	1.3	eV per formula unit

# 4
## P4Pt5 (GGA-PBE)

Data for an optimized crystal structure of P4Pt5.

a b c (Å): 6.892 6.892 6.997
angles (deg): 90.00 90.00 120.00
Sites, in units of the cell vectors:
P 0.000 0.000 0.000
P 0.000 0.000 0.500
P 0.000 0.405 0.250
P 0.000 0.595 0.750
P 0.405 0.000 0.250
P 0.405 0.405 0.750
P 0.595 0.000 0.750
P 0.595 0.595 0.250
Pt 0.000 0.265 0.750
Pt 0.000 0.735 0.250
Pt 0.265 0.000 0.750
Pt 0.265 0.265 0.250
Pt 0.333 0.667 0.000
Pt 0.333 0.667 0.500
Pt 0.667 0.333 0.000
Pt 0.667 0.333 0.500
Pt 0.735 0.000 0.250
Pt 0.735 0.735 0.750

## Properties
energy of formation	0.018	eV/atom
D(E_F)	10.04	states/eV/cell
final energy	-103.37	eV for the cell shown